(1)
Here is SrOsBr2 after structural relaxation from Alexandria. Energies are from PBE-GGA.

Computed properties:
ΔE_f (raw) (eV per atom): -0.04

Cell lengths 3.7813, 4.5436, 6.8992 Å; angles 90.00, 105.57, 90.00 degrees
Element x y z (fractional)
Sr  0.0000  0.0000  0.0000
Os  0.3795  0.5000  0.7535
Br  0.3170  0.0000  0.6259
Br  0.5916  0.5000  0.1874

---

(2)
Here is SrOsBr2 after structural relaxation from Alexandria. Energies are from PBE-GGA.

Computed properties:
ΔE_f (raw) (eV per atom): -0.01

Cell lengths 8.9086, 8.9086, 3.6609 Å; angles 90.68, 90.68, 22.35 degrees
Element x y z (fractional)
Sr  0.0000  0.0000  0.0000
Os  0.3617  0.3617  0.4847
Br  0.6027  0.6027  0.5058
Br  0.8206  0.8206  0.9830

---

(3)
Here is SrOsBr2 after structural relaxation from Alexandria. Energies are from PBE-GGA.

Computed properties:
ΔE_f (raw) (eV per atom): 0.22

Cell lengths 3.5188, 4.6383, 6.1846 Å; angles 90.00, 90.00, 90.00 degrees
Element x y z (fractional)
Sr  0.0000  0.0000  0.0000
Os  0.5000  0.0000  0.5000
Br  0.0000  0.5000  0.5000
Br  0.5000  0.5000  0.0000

---

(4)
Here is SrOsBr6 after structural relaxation from Alexandria. Energies are from PBE-GGA.

Computed properties:
ΔE_f (raw) (eV per atom): -0.78

Cell lengths 6.9843, 6.9843, 6.8340 Å; angles 98.29, 98.29, 118.88 degrees
Element x y z (fractional)
Sr  0.0000  0.0000  0.0000
Os  0.5000  0.5000  0.5000
Br  0.1600  0.4633  0.2707
Br  0.2511  0.2511  0.6911
Br  0.4633  0.1600  0.2707
Br  0.5367  0.8400  0.7293
Br  0.7489  0.7489  0.3089
Br  0.8400  0.5367  0.7293

---

(5)
Here is SrOs3Br after structural relaxation from Alexandria. Energies are from PBE-GGA.

Computed properties:
ΔE_f (raw) (eV per atom): 3.67

Cell lengths 5.1363, 5.1363, 5.1363 Å; angles 90.00, 90.00, 90.00 degrees
Element x y z (fractional)
Sr  0.0000  0.0000  0.0000
Os  0.0000  0.0000  0.5000
Os  0.0000  0.5000  0.0000
Os  0.5000  0.0000  0.0000
Br  0.5000  0.5000  0.5000

---

(6)
Here is SrOsBr2 after structural relaxation from Alexandria. Energies are from PBE-GGA.

Computed properties:
ΔE_f (raw) (eV per atom): 0.37

Cell lengths 9.0594, 9.0594, 9.0594 Å; angles 25.41, 25.41, 25.41 degrees
Element x y z (fractional)
Sr  0.0000  0.0000  0.0000
Os  0.5000  0.5000  0.5000
Br  0.1214  0.1214  0.1214
Br  0.8786  0.8786  0.8786

---

(7)
Here is SrOsBr2 after structural relaxation from Alexandria. Energies are from PBE-GGA.

Computed properties:
ΔE_f (raw) (eV per atom): 0.23

Cell lengths 7.5540, 7.5540, 7.5540 Å; angles 39.60, 39.60, 39.60 degrees
Element x y z (fractional)
Sr  0.0000  0.0000  0.0000
Os  0.5000  0.5000  0.5000
Br  0.3837  0.3837  0.3837
Br  0.6163  0.6163  0.6163

---

(8)
Here is SrOsBr2 after structural relaxation from Alexandria. Energies are from PBE-GGA.

Computed properties:
ΔE_f (raw) (eV per atom): -0.01

Cell lengths 5.0606, 5.0606, 4.0691 Å; angles 90.00, 90.00, 99.73 degrees
Element x y z (fractional)
Sr  0.0000  0.0000  0.0000
Os  0.5000  0.5000  0.0000
Br  0.3034  0.6966  0.5000
Br  0.6966  0.3034  0.5000

---

(9)
Here is SrOsBr after structural relaxation from Alexandria. Energies are from PBE-GGA.

Computed properties:
ΔE_f (raw) (eV per atom): 0.89

Cell lengths 4.9557, 4.9557, 4.9557 Å; angles 60.00, 60.00, 60.00 degrees
Element x y z (fractional)
Sr  0.0000  0.0000  0.0000
Os  0.5000  0.5000  0.5000
Br  0.7500  0.7500  0.7500

---

(10)
Here is SrOs3Br after structural relaxation from Alexandria. Energies are from PBE-GGA.

Computed properties:
ΔE_f (raw) (eV per atom): 1.87

Cell lengths 4.6860, 4.6860, 4.6860 Å; angles 90.00, 90.00, 90.00 degrees
Element x y z (fractional)
Sr  0.0000  0.0000  0.0000
Os  0.0000  0.5000  0.5000
Os  0.5000  0.0000  0.5000
Os  0.5000  0.5000  0.0000
Br  0.5000  0.5000  0.5000

---

(11)
Here is SrOsBr2 after structural relaxation from Alexandria. Energies are from PBE-GGA.

Computed properties:
ΔE_f (raw) (eV per atom): 0.20

Cell lengths 5.2861, 5.2861, 5.2861 Å; angles 60.00, 60.00, 60.00 degrees
Element x y z (fractional)
Sr  0.0000  0.0000  0.0000
Os  0.5000  0.5000  0.5000
Br  0.2500  0.2500  0.2500
Br  0.7500  0.7500  0.7500

---

(12)
Here is SrOsBr2 after structural relaxation from Alexandria. Energies are from PBE-GGA.

Computed properties:
ΔE_f (raw) (eV per atom): 0.28

Cell lengths 6.6551, 6.6551, 6.6551 Å; angles 143.71, 143.71, 52.26 degrees
Element x y z (fractional)
Sr  0.0000  0.0000  0.0000
Os  0.7500  0.2500  0.5000
Br  0.2500  0.7500  0.5000
Br  0.5000  0.5000  0.0000

---

(13)
Here is SrOsBr2 after structural relaxation from Alexandria. Energies are from PBE-GGA.

Computed properties:
ΔE_f (raw) (eV per atom): -0.01

Cell lengths 3.4580, 3.6600, 8.5315 Å; angles 90.00, 90.00, 90.00 degrees
Element x y z (fractional)
Sr  0.0000  0.0000  0.0000
Os  0.5000  0.5000  0.2830
Br  0.0000  0.0000  0.3676
Br  0.5000  0.5000  0.7890

---

(14)
Here is SrOsBr3 after structural relaxation from Alexandria. Energies are from PBE-GGA.

Computed properties:
ΔE_f (raw) (eV per atom): -0.25

Cell lengths 5.1351, 5.1351, 5.1351 Å; angles 90.00, 90.00, 90.00 degrees
Element x y z (fractional)
Sr  0.0000  0.0000  0.0000
Os  0.5000  0.5000  0.5000
Br  0.0000  0.5000  0.5000
Br  0.5000  0.0000  0.5000
Br  0.5000  0.5000  0.0000

---

(15)
Here is SrOsBr2 after structural relaxation from Alexandria. Energies are from PBE-GGA.

Computed properties:
ΔE_f (raw) (eV per atom): 0.38

Cell lengths 10.2232, 10.2232, 10.2232 Å; angles 24.22, 24.22, 24.22 degrees
Element x y z (fractional)
Sr  0.0000  0.0000  0.0000
Os  0.5000  0.5000  0.5000
Br  0.2749  0.2749  0.2749
Br  0.7251  0.7251  0.7251

---

(16)
Here is SrOsBr2 after structural relaxation from Alexandria. Energies are from PBE-GGA.

Computed properties:
ΔE_f (raw) (eV per atom): 0.55

Cell lengths 5.4224, 5.4224, 5.4224 Å; angles 60.00, 60.00, 60.00 degrees
Element x y z (fractional)
Sr  0.0000  0.0000  0.0000
Os  0.7500  0.7500  0.7500
Br  0.2500  0.2500  0.2500
Br  0.5000  0.5000  0.5000

---

(17)
Here is SrOsBr after structural relaxation from Alexandria. Energies are from PBE-GGA.

Computed properties:
ΔE_f (raw) (eV per atom): 0.77

Cell lengths 3.5591, 3.5591, 6.9445 Å; angles 90.00, 90.00, 120.00 degrees
Element x y z (fractional)
Sr  0.0000  0.0000  0.0000
Os  0.3333  0.6667  0.6655
Br  0.6667  0.3333  0.3338

---

(18)
Here is SrOsBr2 after structural relaxation from Alexandria. Energies are from PBE-GGA.

Computed properties:
ΔE_f (raw) (eV per atom): 0.25

Cell lengths 4.9048, 4.9048, 3.6440 Å; angles 90.00, 90.00, 90.00 degrees
Element x y z (fractional)
Sr  0.0000  0.0000  0.0000
Os  0.5000  0.5000  0.0000
Br  0.0000  0.5000  0.5000
Br  0.5000  0.0000  0.5000

---

(19)
Here is Sr4OsBr after structural relaxation from Alexandria. Energies are from PBE-GGA.

Computed properties:
ΔE_f (raw) (eV per atom): 0.92

Cell lengths 6.7748, 6.7748, 6.7748 Å; angles 60.00, 60.00, 60.00 degrees
Element x y z (fractional)
Sr  0.3764  0.3764  0.3764
Sr  0.3764  0.3764  0.8708
Sr  0.3764  0.8708  0.3764
Sr  0.8708  0.3764  0.3764
Os  0.7500  0.7500  0.7500
Br  0.0000  0.0000  0.0000

---

(20)
Here is SrOsBr2 after structural relaxation from Alexandria. Energies are from PBE-GGA.

Computed properties:
ΔE_f (raw) (eV per atom): -0.22

Cell lengths 6.7361, 6.7361, 6.7361 Å; angles 146.91, 135.04, 56.95 degrees
Element x y z (fractional)
Sr  0.0000  0.0000  0.0000
Os  0.5000  0.5000  0.0000
Br  0.3567  0.8567  0.5000
Br  0.6433  0.1433  0.5000

---

(21)
Here is SrOsBr2 after structural relaxation from Alexandria. Energies are from PBE-GGA.

Computed properties:
ΔE_f (raw) (eV per atom): 0.12

Cell lengths 8.9616, 8.9616, 8.9616 Å; angles 146.20, 146.20, 48.55 degrees
Element x y z (fractional)
Sr  0.0000  0.0000  0.0000
Sr  0.7500  0.2500  0.5000
Os  0.2500  0.7500  0.5000
Os  0.5000  0.5000  0.0000
Br  0.2014  0.6250  0.0764
Br  0.3750  0.4514  0.5764
Br  0.5486  0.1250  0.9236
Br  0.8750  0.7986  0.4236

---

(22)
Here is SrOsBr2 after structural relaxation from Alexandria. Energies are from PBE-GGA.

Computed properties:
ΔE_f (raw) (eV per atom): 0.04

Cell lengths 8.4006, 8.4006, 8.4006 Å; angles 156.62, 151.19, 37.43 degrees
Element x y z (fractional)
Sr  0.0000  0.0000  0.0000
Os  0.8370  0.3370  0.5000
Br  0.3346  0.8346  0.5000
Br  0.5948  0.5948  0.0000

---

(23)
Here is Sr2TiOsBr after structural relaxation from Alexandria. Energies are from PBE-GGA.

Computed properties:
ΔE_f (raw) (eV per atom): 1.17

Cell lengths 6.0688, 6.0688, 4.7369 Å; angles 90.00, 90.00, 90.00 degrees
Element x y z (fractional)
Sr  0.0000  0.5000  0.0000
Sr  0.5000  0.0000  0.0000
Ti  0.0000  0.0000  0.0000
Os  0.5000  0.5000  0.5000
Br  0.0000  0.0000  0.5000

---

(24)
Here is SrYOsBr2 after structural relaxation from Alexandria. Energies are from PBE-GGA.

Computed properties:
ΔE_f (raw) (eV per atom): 0.63

Cell lengths 5.1600, 5.1600, 5.6950 Å; angles 90.00, 90.00, 90.00 degrees
Element x y z (fractional)
Sr  0.0000  0.0000  0.0000
Y  0.5000  0.5000  0.0000
Os  0.0000  0.0000  0.5000
Br  0.0000  0.5000  0.5000
Br  0.5000  0.0000  0.5000

---

(25)
Here is TaOsBr2 after structural relaxation from Alexandria. Energies are from PBE-GGA.

Computed properties:
ΔE_f (raw) (eV per atom): -0.10

Cell lengths 3.4376, 3.0885, 9.0812 Å; angles 90.00, 90.51, 90.00 degrees
Element x y z (fractional)
Ta  0.0000  0.0000  0.0000
Os  0.4964  0.5000  0.8507
Br  0.0062  0.5000  0.2335
Br  0.4918  0.0000  0.6161

---

(26)
Here is TaOsBr2 after structural relaxation from Alexandria. Energies are from PBE-GGA.

Computed properties:
ΔE_f (raw) (eV per atom): 1.13

Cell lengths 3.1661, 3.1661, 9.4150 Å; angles 90.00, 90.00, 123.77 degrees
Element x y z (fractional)
Ta  0.0000  0.0000  0.0000
Os  0.0000  0.0000  0.5000
Br  0.5000  0.5000  0.2338
Br  0.5000  0.5000  0.7662

---

(27)
Here is TaOsBr2 after structural relaxation from Alexandria. Energies are from PBE-GGA.

Computed properties:
ΔE_f (raw) (eV per atom): 0.77

Cell lengths 8.9459, 8.9459, 8.9459 Å; angles 20.19, 20.19, 20.19 degrees
Element x y z (fractional)
Ta  0.0000  0.0000  0.0000
Os  0.5000  0.5000  0.5000
Br  0.4080  0.4080  0.4080
Br  0.5920  0.5920  0.5920

---

(28)
Here is TaOs2Br after structural relaxation from Alexandria. Energies are from PBE-GGA.

Computed properties:
ΔE_f (raw) (eV per atom): 0.84

Cell lengths 2.8740, 2.8740, 9.9622 Å; angles 90.00, 90.00, 119.19 degrees
Element x y z (fractional)
Ta  0.0000  0.0000  0.0000
Os  0.0000  0.0000  0.5518
Os  0.5000  0.5000  0.7678
Br  0.5000  0.5000  0.2301

---

(29)
Here is TaOsBr2 after structural relaxation from Alexandria. Energies are from PBE-GGA.

Computed properties:
ΔE_f (raw) (eV per atom): 1.57

Cell lengths 6.6721, 6.6721, 6.6721 Å; angles 126.92, 126.92, 78.39 degrees
Element x y z (fractional)
Ta  0.0000  0.0000  0.0000
Ta  0.7500  0.2500  0.5000
Os  0.2500  0.7500  0.5000
Os  0.5000  0.5000  0.0000
Br  0.1385  0.6250  0.0135
Br  0.3750  0.3885  0.5135
Br  0.6115  0.1250  0.9865
Br  0.8750  0.8615  0.4865

---

(30)
Here is TaOs2Br after structural relaxation from Alexandria. Energies are from PBE-GGA.

Computed properties:
ΔE_f (raw) (eV per atom): 0.57

Cell lengths 3.1687, 3.1687, 7.0214 Å; angles 90.00, 90.00, 90.00 degrees
Element x y z (fractional)
Ta  0.0000  0.0000  0.0000
Os  0.5000  0.5000  0.2109
Os  0.5000  0.5000  0.7891
Br  0.0000  0.0000  0.5000